Material: DyNbZnRu
Method: DFT, GGA-PBE
State: optimized geometry

ΔH_f (0 K) ... -0.11 eV per atom
Space-group type ... F-43m, No. 216

abc: 4.703 4.703 4.703
angles: 60.00 60.00 60.00
Fractional coordinates of all 4 atoms:
Dy  0.000  0.000  0.000
Nb  0.500  0.500  0.500
Zn  0.750  0.750  0.750
Ru  0.250  0.250  0.250

=====

Material: Dy2NbS4
Method: DFT, GGA-PBE
State: optimized geometry

Formation energy from raw total energies ... -1.57 eV per atom
Space-group type ... C2/m, No. 12

abc: 7.041 7.041 6.985
angles: 118.31 118.31 31.44
Fractional coordinates of all 7 atoms:
Dy  0.227  0.227  0.216
Dy  0.773  0.773  0.784
Nb  0.500  0.500  0.500
S  0.128  0.128  0.485
S  0.387  0.387  0.082
S  0.613  0.613  0.918
S  0.872  0.872  0.515

=====

Material: Dy2NbS6
Method: DFT, GGA-PBE
State: optimized geometry

Formation energy from raw total energies ... -1.27 eV per atom
Space-group type ... P4_2/mnm, No. 136

abc: 6.228 6.228 11.676
angles: 90.00 90.00 90.00
Fractional coordinates of all 18 atoms:
Dy  0.000  0.000  0.171
Dy  0.000  0.000  0.829
Dy  0.500  0.500  0.329
Dy  0.500  0.500  0.671
Nb  0.000  0.000  0.500
Nb  0.500  0.500  0.000
S  0.194  0.194  0.351
S  0.194  0.194  0.649
S  0.214  0.214  0.000
S  0.286  0.714  0.500
S  0.306  0.694  0.149
S  0.306  0.694  0.851
S  0.694  0.306  0.149
S  0.694  0.306  0.851
S  0.714  0.286  0.500
S  0.786  0.786  0.000
S  0.806  0.806  0.351
S  0.806  0.806  0.649

=====

Material: DyNbS2
Method: DFT, GGA-PBE
State: optimized geometry

Formation energy from raw total energies ... -0.87 eV per atom
Space-group type ... R-3m, No. 166

abc: 8.749 8.749 8.749
angles: 22.87 22.87 22.87
Fractional coordinates of all 4 atoms:
Dy  0.000  0.000  0.000
Nb  0.500  0.500  0.500
S  0.106  0.106  0.106
S  0.894  0.894  0.894

=====

Material: DyNb6S8
Method: DFT, GGA-PBE
State: optimized geometry

Formation energy from raw total energies ... -1.04 eV per atom
Space-group type ... R-3, No. 148

abc: 6.632 6.632 6.632
angles: 88.07 88.07 88.07
Fractional coordinates of all 15 atoms:
Dy  0.000  0.000  0.000
Nb  0.202  0.410  0.555
Nb  0.410  0.555  0.202
Nb  0.445  0.798  0.590
Nb  0.555  0.202  0.410
Nb  0.590  0.445  0.798
Nb  0.798  0.590  0.445
S  0.132  0.758  0.387
S  0.230  0.230  0.230
S  0.242  0.613  0.868
S  0.387  0.132  0.758
S  0.613  0.868  0.242
S  0.758  0.387  0.132
S  0.770  0.770  0.770
S  0.868  0.242  0.613

=====

Material: DyNb4S8
Method: DFT, GGA-PBE
State: optimized geometry

Formation energy from raw total energies ... -1.24 eV per atom
Space-group type ... C2/m, No. 12

abc: 6.870 6.870 8.665
angles: 123.60 123.60 60.78
Fractional coordinates of all 13 atoms:
Dy  0.000  0.000  0.000
Nb  0.277  0.277  0.509
Nb  0.294  0.706  0.500
Nb  0.706  0.294  0.500
Nb  0.723  0.723  0.491
S  0.006  0.006  0.692
S  0.029  0.524  0.733
S  0.455  0.455  0.234
S  0.476  0.971  0.267
S  0.524  0.029  0.733
S  0.545  0.545  0.766
S  0.971  0.476  0.267
S  0.994  0.994  0.308

=====

What are the raw total energy values for these records? In order: -6.41; -6.68; -6.16; -6.60; -7.58; -7.23 eV per atom.